This record from Alexandria via LeMat-Bulk describes a relaxed structure of Sr2DyAs4Pd3. The functional is PBE.

Computed properties:
ΔE_f in eV per atom: -0.909
Theoretical density in Mg/m³: 7.2
V in Å³/atom: 22.182

```
data_Sr2DyAs4Pd3
_chemical_formula_sum 'Sr2 Dy1 As4 Pd3'
_cell_length_a 4.442
_cell_length_b 4.442
_cell_length_c 11.241
_cell_angle_alpha 90.00
_cell_angle_beta 90.00
_cell_angle_gamma 90.00
_space_group_name_H-M_alt 'P -4 m 2'
_space_group_IT_number 115
loop_
_space_group_symop_operation_xyz
'x,y,z'
'y,-x,-z'
'-x,-y,z'
'-y,x,-z'
'-x,y,z'
'-y,-x,-z'
'x,-y,z'
'y,x,-z'
loop_
_atom_site_label
_atom_site_type_symbol
_atom_site_fract_x
_atom_site_fract_y
_atom_site_fract_z
Sr1 Sr 0.000 0.500 0.229
Dy1 Dy 0.000 0.000 0.500
As1 As 0.000 0.000 0.000
As2 As 0.000 0.500 0.654
As3 As 0.500 0.500 0.000
Pd1 Pd 0.000 0.500 0.885
Pd2 Pd 0.500 0.500 0.500
```

---

This record from Alexandria via LeMat-Bulk describes a relaxed structure of Pm6InRh5. The functional is PBE.

Computed properties:
ΔE_f in eV per atom: -0.616
Theoretical density in Mg/m³: 9.1
V in Å³/atom: 22.819

```
data_Pm6InRh5
_chemical_formula_sum 'Pm6 In1 Rh5'
_cell_length_a 4.998
_cell_length_b 7.281
_cell_length_c 7.927
_cell_angle_alpha 90.00
_cell_angle_beta 108.32
_cell_angle_gamma 90.00
_space_group_name_H-M_alt 'P 1 2/m 1'
_space_group_IT_number 10
loop_
_space_group_symop_operation_xyz
'x,y,z'
'-x,-y,-z'
'-x,y,-z'
'x,-y,z'
loop_
_atom_site_label
_atom_site_type_symbol
_atom_site_fract_x
_atom_site_fract_y
_atom_site_fract_z
Pm1 Pm 0.000 0.233 0.000
Pm2 Pm 0.327 0.244 0.655
In1 In 0.500 0.500 0.000
Rh1 Rh 0.158 0.500 0.315
Rh2 Rh 0.169 0.000 0.336
Rh3 Rh 0.500 0.000 0.000
```

---

This record from Alexandria via LeMat-Bulk describes a relaxed structure of ScCrBr6. The functional is PBE.

Computed properties:
Theoretical density in Mg/m³: 4.3
ΔE_f (raw) in eV per atom: -1.108
V in Å³/atom: 27.771

```
data_ScCrBr6
_chemical_formula_sum 'Sc3 Cr3 Br18'
_cell_length_a 6.5953
_cell_length_b 6.5953
_cell_length_c 17.6931
_cell_angle_alpha 90.00
_cell_angle_beta 90.00
_cell_angle_gamma 120.00
_space_group_name_H-M_alt 'R -3'
_space_group_IT_number 148
_space_group_name_Hall '-R 3'
loop_
_atom_site_label
_atom_site_type_symbol
_atom_site_fract_x
_atom_site_fract_y
_atom_site_fract_z
Sc1 Sc 0.0000 0.0000 0.0000
Cr1 Cr 0.0000 0.0000 0.5000
Br1 Br 0.0091 0.3208 0.5816
```

---

This record from Alexandria via LeMat-Bulk describes a relaxed structure of CaAcDy2. The functional is PBE.

Computed properties:
Energy relative to the lowest polymorph listed for this composition in kJ/mol of formula units: 6
ΔE_f in eV per atom: 0.111
Theoretical density in Mg/m³: 6.7
V in Å³/atom: 36.891

```
data_CaAcDy2
_chemical_formula_sum 'Ca1 Ac1 Dy2'
_cell_length_a 3.789
_cell_length_b 3.789
_cell_length_c 10.276
_cell_angle_alpha 90.00
_cell_angle_beta 90.00
_cell_angle_gamma 90.00
_space_group_name_H-M_alt 'P 4/m m m'
_space_group_IT_number 123
_space_group_name_Hall '-P 4 2'
loop_
_atom_site_label
_atom_site_type_symbol
_atom_site_fract_x
_atom_site_fract_y
_atom_site_fract_z
Ca1 Ca 0.000 0.000 0.000
Ac1 Ac 0.000 0.000 0.500
Dy1 Dy 0.500 0.500 0.255
```

---

This record from Alexandria via LeMat-Bulk describes a relaxed structure of BeAg2Cl. The functional is PBE.

Computed properties:
Energy relative to the lowest polymorph listed for this composition in kJ/mol of formula units: 162
Theoretical density in Mg/m³: 5.1
ΔE_f (raw) in eV per atom: 0.306
V in Å³/atom: 21.147

```
data_BeAg2Cl
_chemical_formula_sum 'Be4 Ag8 Cl4'
_cell_length_a 4.692
_cell_length_b 4.692
_cell_length_c 15.366
_cell_angle_alpha 90.00
_cell_angle_beta 90.00
_cell_angle_gamma 90.00
_space_group_name_H-M_alt 'I -4 2 d'
_space_group_IT_number 122
_space_group_name_Hall 'I -4 2bw'
loop_
_atom_site_label
_atom_site_type_symbol
_atom_site_fract_x
_atom_site_fract_y
_atom_site_fract_z
Be1 Be 0.000 0.000 0.000
Ag1 Ag 0.170 0.250 0.125
Cl1 Cl 0.000 0.000 0.500
```

---

This record from Alexandria via LeMat-Bulk describes a relaxed structure of KAlSn2. The functional is PBE.

Computed properties:
ΔE_f in eV per atom: -0.018
Theoretical density in Mg/m³: 3.8
V in Å³/atom: 33.054

```
data_KAlSn2
_chemical_formula_sum 'K3 Al3 Sn6'
_cell_length_a 4.5614
_cell_length_b 4.5614
_cell_length_c 22.0135
_cell_angle_alpha 90.00
_cell_angle_beta 90.00
_cell_angle_gamma 120.00
_space_group_name_H-M_alt 'R 3 m'
_space_group_IT_number 160
_space_group_name_Hall 'R 3 -2"'
loop_
_atom_site_label
_atom_site_type_symbol
_atom_site_fract_x
_atom_site_fract_y
_atom_site_fract_z
K1 K 0.0000 0.0000 0.0000
Al1 Al 0.0000 0.0000 0.1755
Sn1 Sn 0.0000 0.0000 0.5558
Sn2 Sn 0.0000 0.0000 0.7894
```

---

This record from Alexandria via LeMat-Bulk describes a relaxed structure of Ac3Ag4Ge4. The functional is PBE.

Computed properties:
Energy relative to the lowest polymorph listed for this composition in kJ/mol of formula units: 5
ΔE_f in eV per atom: -0.508
Theoretical density in Mg/m³: 8.6
V in Å³/atom: 24.731

```
data_Ac3Ag4Ge4
_chemical_formula_sum 'Ac3 Ag4 Ge4'
_cell_length_a 4.475
_cell_length_b 4.560
_cell_length_c 13.696
_cell_angle_alpha 80.48
_cell_angle_beta 80.84
_cell_angle_gamma 89.98
_space_group_name_H-M_alt 'P -1'
_space_group_IT_number 2
loop_
_space_group_symop_operation_xyz
'x,y,z'
'-x,-y,-z'
loop_
_atom_site_label
_atom_site_type_symbol
_atom_site_fract_x
_atom_site_fract_y
_atom_site_fract_z
Ac1 Ac 0.000 0.000 0.000
Ac2 Ac 0.154 0.651 0.698
Ag1 Ag 0.250 0.251 0.499
Ag2 Ag 0.403 0.905 0.190
Ge1 Ge 0.307 0.808 0.385
Ge2 Ge 0.466 0.452 0.096
```

---

This record from Alexandria via LeMat-Bulk describes a relaxed structure of AlBi2N. The functional is PBE.

Computed properties:
Energy relative to the lowest polymorph listed for this composition in kJ/mol of formula units: 0
Theoretical density in Mg/m³: 7.1
ΔE_f (raw) in eV per atom: 0.661
V in Å³/atom: 26.654

```
data_AlBi2N
_chemical_formula_sum 'Al4 Bi8 N4'
_cell_length_a 5.831
_cell_length_b 5.831
_cell_length_c 12.542
_cell_angle_alpha 90.00
_cell_angle_beta 90.00
_cell_angle_gamma 90.00
_space_group_name_H-M_alt 'I -4 2 d'
_space_group_IT_number 122
_space_group_name_Hall 'I -4 2bw'
loop_
_atom_site_label
_atom_site_type_symbol
_atom_site_fract_x
_atom_site_fract_y
_atom_site_fract_z
Al1 Al 0.000 0.000 0.000
Bi1 Bi 0.186 0.250 0.625
N1 N 0.000 0.000 0.500
```

---

> Look up the theoretical density of the sixth one.

3.8 Mg/m³

---

> What is the V in the eighth record?

26.654 Å³/atom